1.
Below is an optimized crystal structure of ScTlBi2Cl, with properties calculated at the PBEsol level.

Cell lengths 5.7135, 5.7135, 4.6057 Å; angles 90.00, 90.00, 90.00 degrees
Atoms (fractional coordinates):
Sc 0.0000 0.0000 0.0000
Tl 0.5000 0.5000 0.0000
Bi 0.0000 0.5000 0.5000
Bi 0.5000 0.0000 0.5000
Cl 0.0000 0.0000 0.5000

For the density of states at the Fermi level, the calculation gives 0.553 states/eV/atom. Its space group is P4/mmm, No. 123. The value obtained for the final energy is -19.65 eV/f.u. Its uncorrected formation energy is 0.033 eV/atom.

2.
Below is an optimized crystal structure of Ba2YSi, with properties calculated at the PBEsol level.

Cell lengths 11.7486, 11.7486, 11.7486 Å; angles 18.99, 18.99, 18.99 degrees
Atoms (fractional coordinates):
Ba 0.2339 0.2339 0.2339
Ba 0.7661 0.7661 0.7661
Y 0.0000 0.0000 0.0000
Si 0.5000 0.5000 0.5000

For the density of states at the Fermi level, the calculation gives 1.479 states/eV/atom. Its space group is R-3m, No. 166. The value obtained for the final energy is -15.85 eV/f.u. Its uncorrected formation energy is 0.255 eV/atom.

3.
Below is an optimized crystal structure of CuHg4, with properties calculated at the PBEsol level.

Cell lengths 6.2082, 6.2082, 6.2082 Å; angles 93.08, 93.08, 153.19 degrees
Atoms (fractional coordinates):
Cu 0.0000 0.0000 0.0000
Hg 0.2292 0.4961 0.7252
Hg 0.4961 0.7708 0.2669
Hg 0.5039 0.2292 0.7331
Hg 0.7708 0.5039 0.2748

For the density of states at the Fermi level, the calculation gives 0.266 states/eV/atom. Its space group is I4/m, No. 87. The value obtained for the final energy is -6.25 eV/f.u.

4.
Below is an optimized crystal structure of FePt2Au, with properties calculated at the PBEsol level.

Cell lengths 9.1554, 9.1554, 9.1554 Å; angles 17.28, 17.28, 17.28 degrees
Atoms (fractional coordinates):
Fe 0.0000 0.0000 0.0000
Pt 0.2571 0.2571 0.2571
Pt 0.7429 0.7429 0.7429
Au 0.5000 0.5000 0.5000

For the density of states at the Fermi level, the calculation gives 0.646 states/eV/atom. Its space group is R-3m, No. 166. The value obtained for the final energy is -27.12 eV/f.u.

Number 2 is which compound?
Ba2YSi

Look up the density of states at the Fermi level of the first one.
0.553 states/eV/atom

What is the formula in the third record?
CuHg4

Which value of final energy does entry 2 give?
-15.85 eV/f.u.